Record 1
{
  "formula": "ErHf3Rh6",
  "functional": "PBE",
  "state": "optimized geometry",
  "vol_a3_per_atom": 17.193,
  "n_ef_per_ev_fu": 5.038,
  "ef_ev_per_atom": -0.88,
  "space_group": "P2_1/m",
  "total_magnetization_mub_per_atom": 0.000,
  "lattice": [[8.4107, 0.0000, 0.0000], [0.0000, 4.3248, 0.0000], [-1.2253, 0.0000, 9.4534]],
  "species": ["Er", "Er", "Hf", "Hf", "Hf", "Hf", "Hf", "Hf", "Rh", "Rh", "Rh", "Rh", "Rh", "Rh", "Rh", "Rh", "Rh", "Rh", "Rh", "Rh"],
  "frac_coords": [[0.0582, 0.2500, 0.3745], [0.9418, 0.7500, 0.6255], [0.2413, 0.2500, 0.0479], [0.3409, 0.7500, 0.8202], [0.4374, 0.2500, 0.6026], [0.5626, 0.7500, 0.3974], [0.6591, 0.2500, 0.1798], [0.7587, 0.7500, 0.9521], [0.0664, 0.7500, 0.9193], [0.1585, 0.7500, 0.2087], [0.1689, 0.2500, 0.7311], [0.2672, 0.7500, 0.5114], [0.3866, 0.2500, 0.3145], [0.4662, 0.7500, 0.1044], [0.5338, 0.2500, 0.8956], [0.6134, 0.7500, 0.6855], [0.7328, 0.2500, 0.4886], [0.8311, 0.7500, 0.2689], [0.8415, 0.2500, 0.7913], [0.9336, 0.2500, 0.0807]]
}

---

Record 2
{
  "formula": "HoVCo4",
  "functional": "PBE",
  "state": "optimized geometry",
  "vol_a3_per_atom": 13.644,
  "n_ef_per_ev_fu": 8.330,
  "ef_ev_per_atom": -0.04,
  "space_group": "F-43m",
  "total_magnetization_mub_per_atom": 0.331,
  "lattice": [[0.0000, 3.4463, 3.4463], [3.4463, 0.0000, 3.4463], [3.4463, 3.4463, 0.0000]],
  "species": ["Ho", "V", "Co", "Co", "Co", "Co"],
  "frac_coords": [[0.0000, 0.0000, 0.0000], [0.7500, 0.7500, 0.7500], [0.3752, 0.3752, 0.3752], [0.3752, 0.3752, 0.8745], [0.3752, 0.8745, 0.3752], [0.8745, 0.3752, 0.3752]]
}

---

Record 3
{
  "formula": "KMgAs2Se",
  "functional": "PBE",
  "state": "optimized geometry",
  "e_form_raw_mev_per_atom": -7,
  "vol_a3_per_atom": 27.619,
  "n_ef_per_ev_fu": 4.091,
  "space_group": "P4/mmm",
  "total_magnetization_mub_per_atom": 0.000,
  "lattice": [[5.0915, 0.0000, 0.0000], [0.0000, 5.0915, 0.0000], [0.0000, 0.0000, 5.3270]],
  "species": ["K", "Mg", "As", "As", "Se"],
  "frac_coords": [[0.0000, 0.0000, 0.0000], [0.5000, 0.5000, 0.5000], [0.0000, 0.5000, 0.5000], [0.5000, 0.0000, 0.5000], [0.5000, 0.5000, 0.0000]]
}

---

Record 4
{
  "formula": "Ho3IrCl3",
  "functional": "PBE",
  "state": "optimized geometry",
  "e_form_raw_mev_per_atom": -1548,
  "vol_a3_per_atom": 30.131,
  "n_ef_per_ev_fu": 1.834,
  "space_group": "R-3",
  "total_magnetization_mub_per_atom": 0.000,
  "lattice": [[3.4065, 1.9667, 10.4942], [-3.4065, 1.9667, 10.4942], [0.0000, -3.9334, 10.4942]],
  "species": ["Ho", "Ho", "Ho", "Ho", "Ho", "Ho", "Ir", "Ir", "Cl", "Cl", "Cl", "Cl", "Cl", "Cl"],
  "frac_coords": [[0.0772, 0.4470, 0.8168], [0.1832, 0.9228, 0.5530], [0.4470, 0.8168, 0.0772], [0.5530, 0.1832, 0.9228], [0.8168, 0.0772, 0.4470], [0.9228, 0.5530, 0.1832], [0.1667, 0.1667, 0.1667], [0.8333, 0.8333, 0.8333], [0.0829, 0.7056, 0.3940], [0.2944, 0.6060, 0.9171], [0.3940, 0.0829, 0.7056], [0.6060, 0.9171, 0.2944], [0.7056, 0.3940, 0.0829], [0.9171, 0.2944, 0.6060]]
}